Record 1
## Ca3Ge5Se12 (PBE-GGA)

Data for a geometry-optimized Ca3Ge5Se12 structure.

Unit cell a=13.9849 b=13.9849 c=13.9849 alpha=109.47 beta=109.47 gamma=109.47
Fractional positions:
Ca (0.1250, 0.2500, 0.3750)
Ca (0.1250, 0.3750, 0.7500)
Ca (0.2500, 0.3750, 0.1250)
Ca (0.2500, 0.8750, 0.6250)
Ca (0.3750, 0.1250, 0.2500)
Ca (0.3750, 0.7500, 0.1250)
Ca (0.6250, 0.2500, 0.8750)
Ca (0.6250, 0.8750, 0.7500)
Ca (0.7500, 0.1250, 0.3750)
Ca (0.7500, 0.6250, 0.8750)
Ca (0.8750, 0.6250, 0.2500)
Ca (0.8750, 0.7500, 0.6250)
Ge (0.0000, 0.0000, 0.0000)
Ge (0.0000, 0.0000, 0.5000)
Ge (0.0000, 0.5000, 0.0000)
Ge (0.0000, 0.5000, 0.5000)
Ge (0.1250, 0.7500, 0.8750)
Ge (0.1250, 0.8750, 0.2500)
Ge (0.2500, 0.1250, 0.8750)
Ge (0.2500, 0.6250, 0.3750)
Ge (0.3750, 0.2500, 0.6250)
Ge (0.3750, 0.6250, 0.7500)
Ge (0.5000, 0.0000, 0.0000)
Ge (0.5000, 0.0000, 0.5000)
Ge (0.5000, 0.5000, 0.0000)
Ge (0.5000, 0.5000, 0.5000)
Ge (0.6250, 0.3750, 0.2500)
Ge (0.6250, 0.7500, 0.3750)
Ge (0.7500, 0.3750, 0.6250)
Ge (0.7500, 0.8750, 0.1250)
Ge (0.8750, 0.1250, 0.7500)
Ge (0.8750, 0.2500, 0.1250)
Se (0.0326, 0.2129, 0.1254)
Se (0.0326, 0.3197, 0.9072)
Se (0.0875, 0.7129, 0.6803)
Se (0.0875, 0.8746, 0.4072)
Se (0.0928, 0.6254, 0.4125)
Se (0.0928, 0.9674, 0.6803)
Se (0.1254, 0.0326, 0.2129)
Se (0.1254, 0.5928, 0.9125)
Se (0.1803, 0.2129, 0.5875)
Se (0.1803, 0.4674, 0.5928)
Se (0.2129, 0.1254, 0.0326)
Se (0.2129, 0.5875, 0.1803)
Se (0.2871, 0.3197, 0.9125)
Se (0.2871, 0.4674, 0.3746)
Se (0.3197, 0.9072, 0.0326)
Se (0.3197, 0.9125, 0.2871)
Se (0.3746, 0.2871, 0.4674)
Se (0.3746, 0.5875, 0.9072)
Se (0.4072, 0.0875, 0.8746)
Se (0.4072, 0.8197, 0.5326)
Se (0.4125, 0.0928, 0.6254)
Se (0.4125, 0.8197, 0.7871)
Se (0.4674, 0.3746, 0.2871)
Se (0.4674, 0.5928, 0.1803)
Se (0.5326, 0.4072, 0.8197)
Se (0.5326, 0.6254, 0.7129)
Se (0.5875, 0.1803, 0.2129)
Se (0.5875, 0.9072, 0.3746)
Se (0.5928, 0.1803, 0.4674)
Se (0.5928, 0.9125, 0.1254)
Se (0.6254, 0.4125, 0.0928)
Se (0.6254, 0.7129, 0.5326)
Se (0.6803, 0.0875, 0.7129)
Se (0.6803, 0.0928, 0.9674)
Se (0.7129, 0.5326, 0.6254)
Se (0.7129, 0.6803, 0.0875)
Se (0.7871, 0.4125, 0.8197)
Se (0.7871, 0.8746, 0.9674)
Se (0.8197, 0.5326, 0.4072)
Se (0.8197, 0.7871, 0.4125)
Se (0.8746, 0.4072, 0.0875)
Se (0.8746, 0.9674, 0.7871)
Se (0.9072, 0.0326, 0.3197)
Se (0.9072, 0.3746, 0.5875)
Se (0.9125, 0.1254, 0.5928)
Se (0.9125, 0.2871, 0.3197)
Se (0.9674, 0.6803, 0.0928)
Se (0.9674, 0.7871, 0.8746)

Results
- DOS at the Fermi energy: 6.71 states/eV/f.u.
- Total energy: -339.63 eV for the cell shown
- Volume: 2105 Å³ per cell
- Formation energy from raw total energies: -0.700 eV/atom

Record 2
## TcNi2Ag (PBE-GGA)

Data for a geometry-optimized TcNi2Ag structure.

Unit cell a=2.6257 b=3.7398 c=5.5546 alpha=90.00 beta=90.00 gamma=90.00
Fractional positions:
Tc (0.0000, 0.0000, 0.0000)
Ni (0.0000, 0.0000, 0.5674)
Ni (0.5000, 0.5000, 0.7979)
Ag (0.5000, 0.5000, 0.3096)

Results
- DOS at the Fermi energy: 4.02 states/eV/f.u.
- Total energy: -23.57 eV for the cell shown
- Relative energy among the computed polymorphs: 194 meV/atom
- Volume: 55 Å³ per cell
- ΔE_f: 0.303 eV/atom

Record 3
## Tb4HoSc7 (PBE-GGA)

Data for a geometry-optimized Tb4HoSc7 structure.

Unit cell a=6.3147 b=6.3147 c=12.0056 alpha=112.47 beta=112.47 gamma=52.04
Fractional positions:
Tb (0.0947, 0.0947, 0.2961)
Tb (0.3692, 0.3692, 0.2255)
Tb (0.6308, 0.6308, 0.7745)
Tb (0.9053, 0.9053, 0.7039)
Ho (0.5000, 0.5000, 0.0000)
Sc (0.0000, 0.0000, 0.0000)
Sc (0.1540, 0.1540, 0.6202)
Sc (0.2072, 0.2072, 0.9158)
Sc (0.3703, 0.3703, 0.5151)
Sc (0.6297, 0.6297, 0.4849)
Sc (0.7928, 0.7928, 0.0842)
Sc (0.8460, 0.8460, 0.3798)

Results
- DOS at the Fermi energy: 22.45 states/eV/f.u.
- Total energy: -64.12 eV for the cell shown
- Volume: 342 Å³ per cell
- ΔE_f: 0.275 eV/atom

Record 4
## U2Ge4RuPt3 (PBE-GGA)

Data for a geometry-optimized U2Ge4RuPt3 structure.

Unit cell a=4.2160 b=4.2160 c=10.3998 alpha=90.00 beta=90.00 gamma=90.00
Fractional positions:
U (0.0000, 0.5000, 0.2451)
U (0.5000, 0.0000, 0.7549)
Ge (0.0000, 0.0000, 0.5000)
Ge (0.0000, 0.5000, 0.8680)
Ge (0.5000, 0.0000, 0.1320)
Ge (0.5000, 0.5000, 0.5000)
Ru (0.5000, 0.5000, 0.0000)
Pt (0.0000, 0.0000, 0.0000)
Pt (0.0000, 0.5000, 0.6335)
Pt (0.5000, 0.0000, 0.3665)

Results
- DOS at the Fermi energy: 19.01 states/eV/f.u.
- Total energy: -73.57 eV for the cell shown
- Volume: 185 Å³ per cell
- ΔE_f: -0.513 eV/atom

Record 5
## Rb3Pm3WS8 (PBE-GGA)

Data for a geometry-optimized Rb3Pm3WS8 structure.

Unit cell a=9.1378 b=9.1378 c=9.1378 alpha=52.32 beta=52.32 gamma=52.32
Fractional positions:
Rb (0.0000, 0.5000, 0.5000)
Rb (0.5000, 0.0000, 0.5000)
Rb (0.5000, 0.5000, 0.0000)
Pm (0.0000, 0.0000, 0.5000)
Pm (0.0000, 0.5000, 0.0000)
Pm (0.5000, 0.0000, 0.0000)
W (0.5000, 0.5000, 0.5000)
S (0.2328, 0.2328, 0.2328)
S (0.2623, 0.7093, 0.7093)
S (0.2907, 0.2907, 0.7377)
S (0.2907, 0.7377, 0.2907)
S (0.7093, 0.2623, 0.7093)
S (0.7093, 0.7093, 0.2623)
S (0.7377, 0.2907, 0.2907)
S (0.7672, 0.7672, 0.7672)

Results
- DOS at the Fermi energy: 6.04 states/eV/f.u.
- Total energy: -85.21 eV for the cell shown
- Volume: 442 Å³ per cell
- Formation energy from raw total energies: -1.472 eV/atom

Record 6
## La7Nd2Sm2 (PBE-GGA)

Data for a geometry-optimized La7Nd2Sm2 structure.

Unit cell a=8.2549 b=8.2549 c=6.2818 alpha=104.94 beta=104.94 gamma=90.16
Fractional positions:
La (0.0000, 0.0000, 0.0000)
La (0.0468, 0.5851, 0.8210)
La (0.4149, 0.9532, 0.1790)
La (0.4234, 0.4234, 0.1957)
La (0.5766, 0.5766, 0.8043)
La (0.5851, 0.0468, 0.8210)
La (0.9532, 0.4149, 0.1790)
Nd (0.2287, 0.2287, 0.5922)
Nd (0.7713, 0.7713, 0.4078)
Sm (0.2140, 0.7860, 0.5000)
Sm (0.7860, 0.2140, 0.5000)

Results
- DOS at the Fermi energy: 17.64 states/eV/f.u.
- Total energy: -52.25 eV for the cell shown
- Relative energy among the computed polymorphs: 21 meV/atom
- Volume: 399 Å³ per cell
- ΔE_f: 0.110 eV/atom

Record 7
## CuIrPt2 (PBE-GGA)

Data for a geometry-optimized CuIrPt2 structure.

Unit cell a=8.9908 b=8.9908 c=8.9908 alpha=17.69 beta=17.69 gamma=17.69
Fractional positions:
Cu (0.0000, 0.0000, 0.0000)
Ir (0.1676, 0.1676, 0.1676)
Pt (0.4147, 0.4147, 0.4147)
Pt (0.5863, 0.5863, 0.5863)

Results
- DOS at the Fermi energy: 4.17 states/eV/f.u.
- Total energy: -24.99 eV for the cell shown
- Relative energy among the computed polymorphs: 64 meV/atom
- Volume: 59 Å³ per cell
- ΔE_f: 0.011 eV/atom

Record 8
## Er7Cd2Ni2 (PBE-GGA)

Data for a geometry-optimized Er7Cd2Ni2 structure.

Unit cell a=6.6983 b=6.6983 c=6.9618 alpha=90.00 beta=90.00 gamma=108.87
Fractional positions:
Er (0.0000, 0.0000, 0.0000)
Er (0.0000, 0.5000, 0.2457)
Er (0.0000, 0.5000, 0.7543)
Er (0.5000, 0.0000, 0.2457)
Er (0.5000, 0.0000, 0.7543)
Er (0.5000, 0.5000, 0.2375)
Er (0.5000, 0.5000, 0.7625)
Cd (0.1773, 0.1773, 0.5000)
Cd (0.8227, 0.8227, 0.5000)
Ni (0.2946, 0.7054, 0.0000)
Ni (0.7054, 0.2946, 0.0000)

Results
- DOS at the Fermi energy: 11.08 states/eV/f.u.
- Total energy: -47.18 eV for the cell shown
- Volume: 296 Å³ per cell
- ΔE_f: -0.168 eV/atom